No. 1
A relaxed structure of Ac2GdAs. Source: Alexandria via LeMat-Bulk, functional GGA-PBE.

Properties
For the energy relative to the elements, the calculation gives -11.9 kcal/mol of atoms. The excess energy over the best structure of this formula in the dataset is 0.00 kcal/mol of atoms. The value obtained for the total energy is -87.01 eV for the cell shown. The value obtained for the calculated volume is 468.07 Å³/cell. The crystal system is trigonal.

Cell: 4.2085 4.2085 30.5158 Å, 90.00 90.00 120.00°
Last column: nearest neighbours and their distance in Å.
Fractional coordinates of all 12 atoms:
Ac1 0.0000 0.0000 0.2304  3 As 3.11
Ac2 0.0000 0.0000 0.7696  3 As 3.11
Ac3 0.3333 0.6667 0.4363  3 As 3.11
Ac4 0.3333 0.6667 0.8971  3 As 3.11
Ac5 0.6667 0.3333 0.1029  3 As 3.11
Ac6 0.6667 0.3333 0.5637  3 As 3.11
Gd1 0.0000 0.0000 0.0000  6 Ac 3.97, 6 Gd 4.21
Gd2 0.3333 0.6667 0.6667  6 Ac 3.97, 6 Gd 4.21
Gd3 0.6667 0.3333 0.3333  6 Ac 3.97, 6 Gd 4.21
As1 0.0000 0.0000 0.5000  6 Ac 3.11
As2 0.3333 0.6667 0.1667  6 Ac 3.11
As3 0.6667 0.3333 0.8333  6 Ac 3.11

No. 2
A relaxed structure of Pm2Cu3Ge4Pt. Source: Alexandria via LeMat-Bulk, functional GGA-PBE.

Properties
For the energy relative to the elements, the calculation gives -13.9 kcal/mol of atoms. The value obtained for the total energy is -52.33 eV for the cell shown. The value obtained for the calculated volume is 180.98 Å³/cell. The crystal system is tetragonal.

Cell: 4.2208 4.2208 10.1586 Å, 90.00 90.00 90.00°
Last column: nearest neighbours and their distance in Å.
Fractional coordinates of all 10 atoms:
Pm1 0.0000 0.5000 0.2486  8 Ge 3.21-3.29, 6 Cu 3.23-3.31, 2 Pt 3.31
Pm2 0.5000 0.0000 0.7514  8 Ge 3.21-3.29, 6 Cu 3.23-3.31, 2 Pt 3.31
Cu1 0.0000 0.5000 0.8718  5 Ge 2.39-2.48
Cu2 0.5000 0.0000 0.1282  5 Ge 2.39-2.48
Cu3 0.5000 0.5000 0.5000  4 Ge 2.52
Ge1 0.0000 0.0000 0.0000  4 Cu 2.48
Ge2 0.0000 0.5000 0.6361  3 Cu 2.39-2.52, 2 Pt 2.52
Ge3 0.5000 0.0000 0.3639  3 Cu 2.39-2.52, 2 Pt 2.52
Ge4 0.5000 0.5000 0.0000  4 Cu 2.48
Pt1 0.0000 0.0000 0.5000  4 Ge 2.52

No. 3
A relaxed structure of MgBePd. Source: Alexandria via LeMat-Bulk, functional GGA-PBE.

Properties
For the energy relative to the elements, the calculation gives -8.4 kcal/mol of atoms. The excess energy over the best structure of this formula in the dataset is 0.63 kcal/mol of atoms. The value obtained for the total energy is -46.44 eV for the cell shown. The value obtained for the calculated volume is 180.10 Å³/cell. The crystal system is tetragonal.

Cell: 2.9317 2.9317 20.9533 Å, 90.00 90.00 90.00°
Last column: nearest neighbours and their distance in Å.
Fractional coordinates of all 12 atoms:
Mg1 0.0000 0.0000 0.0730  4 Pd 2.80, 5 Mg 2.93-3.06, 1 Be 3.10
Mg2 0.0000 0.0000 0.9270  4 Pd 2.80, 5 Mg 2.93-3.06, 1 Be 3.10
Mg3 0.5000 0.5000 0.4270  4 Pd 2.80, 5 Mg 2.93-3.06, 1 Be 3.10
Mg4 0.5000 0.5000 0.5730  4 Pd 2.80, 5 Mg 2.93-3.06, 1 Be 3.10
Be1 0.0000 0.0000 0.2210  4 Be 2.40, 5 Pd 2.41-2.44
Be2 0.0000 0.0000 0.7790  4 Be 2.40, 5 Pd 2.41-2.44
Be3 0.5000 0.5000 0.2790  4 Be 2.40, 5 Pd 2.41-2.44
Be4 0.5000 0.5000 0.7210  4 Be 2.40, 5 Pd 2.41-2.44
Pd1 0.0000 0.0000 0.3375  5 Be 2.41-2.44
Pd2 0.0000 0.0000 0.6625  5 Be 2.41-2.44
Pd3 0.5000 0.5000 0.1625  5 Be 2.41-2.44
Pd4 0.5000 0.5000 0.8375  5 Be 2.41-2.44